A crystal of SrMn2Br relaxed with PBEsol. Source: the Alexandria database, functional meta-GGA SCAN.

Computed properties:
M_tot = 8.60 μB/f.u.
Electronic total energy = -19.818 eV/atom
Raw formation energy = -25 kJ/mol of atoms
Space group = P4mm, No. 99

Lattice parameters (Å, degrees): 3.6414 3.6414 7.2223 90.00 90.00 90.00
Fractional coordinates of all 4 atoms:
Mn (0.5000, 0.5000, 0.1650)
Mn (0.0000, 0.0000, 0.0856)
Sr (0.0000, 0.0000, 0.5007)
Br (0.5000, 0.5000, 0.7487)